Density functional theory data (PBE) for a geometry-optimized TlIn4Hg2Pb structure.

The value obtained for the formation energy is 1.84 kJ per mole of atoms. For the total energy, the calculation gives -2.18 eV per atom. The value obtained for the magnetic moment is 0.0 μB/f.u.

It has space group P2/m (No. 10), with a = 5.407 Å, b = 4.587 Å, c = 8.988 Å, α = 90.00°, β = 90.00° and γ = 90.00°. Symmetry generates all atoms from Tl at (0.000, 0.000, 0.000), In at (0.002, 0.500, 0.732), In at (0.499, 0.000, 0.237), Hg at (0.000, 0.000, 0.500), Hg at (0.500, 0.500, 0.000) and Pb at (0.500, 0.500, 0.500).